{"formula": "ScAuS3", "functional": "PBE-GGA", "state": "optimized geometry", "e_above_lowest_polymorph_ev_per_atom": 0.000, "raw_formation_energy_mev_per_atom": -43.4, "e_tot_ev_per_atom": -4.4417, "spacegroup": "No. 221", "magmom_total_mub_per_fu": 1.2, "cell": [[4.902, 0.000, 0.000], [0.000, 4.902, 0.000], [0.000, 0.000, 4.902]], "species": ["Sc", "S", "S", "S", "Au"], "fractional_positions": [[0.000, 0.000, 0.000], [0.000, 0.500, 0.000], [0.000, 0.000, 0.500], [0.500, 0.000, 0.000], [0.500, 0.500, 0.500]]}

{"formula": "NaGaSbTe3", "functional": "PBE-GGA", "state": "optimized geometry", "raw_formation_energy_mev_per_atom": -330.9, "e_tot_ev_per_atom": -3.3131, "spacegroup": "No. 11", "magmom_total_mub_per_fu": 0.0, "cell": [[-1.964, 2.939, 2.585], [-8.032, -2.263, -3.527], [0.537, -7.292, 8.699]], "species": ["Na", "Na", "Ga", "Ga", "Sb", "Sb", "Te", "Te", "Te", "Te", "Te", "Te"], "fractional_positions": [[0.250, 0.164, 0.149], [0.750, 0.836, 0.851], [0.250, 0.068, 0.609], [0.750, 0.932, 0.391], [0.250, 0.649, 0.147], [0.750, 0.351, 0.853], [0.750, 0.906, 0.154], [0.250, 0.094, 0.846], [0.250, 0.791, 0.463], [0.750, 0.209, 0.537], [0.750, 0.425, 0.142], [0.250, 0.575, 0.858]]}

{"formula": "AlInBiAu2", "functional": "PBE-GGA", "state": "optimized geometry", "formation_energy_ev_per_atom": 0.189, "e_tot_ev_per_atom": -3.1940, "spacegroup": "No. 123", "magmom_total_mub_per_fu": 0.0, "cell": [[4.916, 0.000, 0.000], [0.000, 5.609, 0.000], [0.000, 0.000, 4.916]], "species": ["Al", "Au", "Au", "Bi", "In"], "fractional_positions": [[0.000, 0.000, 0.000], [0.000, 0.000, 0.500], [0.500, 0.000, 0.000], [0.000, 0.500, 0.000], [0.500, 0.500, 0.500]]}

{"formula": "MgZn4Ni", "functional": "PBE-GGA", "state": "optimized geometry", "formation_energy_ev_per_atom": -0.072, "e_above_lowest_polymorph_ev_per_atom": 0.048, "e_tot_ev_per_atom": -2.1502, "spacegroup": "No. 71", "magmom_total_mub_per_fu": 0.0, "cell": [[4.021, -5.600, 1.595], [6.447, 2.215, 1.897], [-6.714, 0.987, 2.006]], "species": ["Mg", "Mg", "Zn", "Zn", "Zn", "Zn", "Zn", "Zn", "Zn", "Zn", "Ni", "Ni"], "fractional_positions": [[0.214, 0.714, 0.500], [0.786, 0.286, 0.500], [0.319, 0.319, 0.000], [0.320, 0.114, 0.206], [0.191, 0.500, 0.691], [0.092, 0.886, 0.206], [0.681, 0.681, 0.000], [0.680, 0.886, 0.794], [0.809, 0.500, 0.309], [0.908, 0.114, 0.794], [0.500, 0.230, 0.730], [0.500, 0.770, 0.270]]}

{"formula": "Mn2BP", "functional": "PBE-GGA", "state": "optimized geometry", "formation_energy_ev_per_atom": -0.081, "e_above_lowest_polymorph_ev_per_atom": 0.000, "e_tot_ev_per_atom": -7.6878, "spacegroup": "No. 225", "magmom_total_mub_per_fu": 0.0, "cell": [[-3.308, -0.997, 1.472], [-3.165, 0.562, -1.941], [-1.879, -2.927, -1.415]], "species": ["P", "B", "Mn", "Mn"], "fractional_positions": [[0.500, 0.500, 0.500], [0.000, 0.000, 0.000], [0.250, 0.250, 0.250], [0.750, 0.750, 0.750]]}

{"formula": "AcPm6DyY2", "functional": "PBE-GGA", "state": "optimized geometry", "formation_energy_ev_per_atom": 0.123, "e_tot_ev_per_atom": -4.8915, "spacegroup": "No. 15", "magmom_total_mub_per_fu": 0.0, "cell": [[9.236, -1.998, -2.073], [1.019, 8.749, -1.983], [1.019, -2.306, 8.670]], "species": ["Ac", "Ac", "Pm", "Pm", "Pm", "Pm", "Pm", "Pm", "Pm", "Pm", "Pm", "Pm", "Pm", "Pm", "Dy", "Dy", "Y", "Y", "Y", "Y"], "fractional_positions": [[0.250, 0.966, 0.034], [0.750, 0.034, 0.966], [0.057, 0.119, 0.756], [0.443, 0.244, 0.881], [0.943, 0.881, 0.244], [0.557, 0.756, 0.119], [0.318, 0.995, 0.450], [0.182, 0.550, 0.005], [0.682, 0.005, 0.550], [0.818, 0.450, 0.995], [0.117, 0.709, 0.481], [0.383, 0.519, 0.291], [0.883, 0.291, 0.519], [0.617, 0.481, 0.709], [0.250, 0.412, 0.588], [0.750, 0.588, 0.412], [0.449, 0.793, 0.689], [0.051, 0.311, 0.207], [0.551, 0.207, 0.311], [0.949, 0.689, 0.793]]}

{"formula": "Pm3SBr7", "functional": "PBE-GGA", "state": "optimized geometry", "raw_formation_energy_mev_per_atom": -1879.9, "e_tot_ev_per_atom": -4.6153, "spacegroup": "No. 156", "magmom_total_mub_per_fu": 0.0, "cell": [[6.952, 0.000, 0.000], [0.000, 8.546, 0.000], [0.000, -4.273, 7.401]], "species": ["Pm", "Pm", "Pm", "S", "Br", "Br", "Br", "Br", "Br", "Br", "Br"], "fractional_positions": [[0.774, 0.493, 0.507], [0.774, 0.493, 0.987], [0.774, 0.013, 0.507], [0.582, 0.333, 0.667], [0.012, 0.172, 0.828], [0.012, 0.172, 0.344], [0.015, 0.667, 0.333], [0.554, 0.826, 0.174], [0.554, 0.349, 0.174], [0.554, 0.826, 0.651], [0.012, 0.656, 0.828]]}

{"formula": "La3CuHg", "functional": "PBE-GGA", "state": "optimized geometry", "formation_energy_ev_per_atom": -0.225, "e_above_lowest_polymorph_ev_per_atom": 0.000, "e_tot_ev_per_atom": -4.0606, "spacegroup": "No. 63", "magmom_total_mub_per_fu": 0.4, "cell": [[-1.334, 0.656, 5.213], [5.080, -1.234, 1.455], [1.831, 9.941, 2.037]], "species": ["La", "La", "La", "La", "La", "La", "Cu", "Cu", "Hg", "Hg"], "fractional_positions": [[0.761, 0.250, 0.127], [0.388, 0.250, 0.872], [0.574, 0.250, 0.500], [0.260, 0.750, 0.128], [0.888, 0.750, 0.873], [0.074, 0.750, 0.500], [0.474, 0.750, 0.701], [0.174, 0.250, 0.299], [0.671, 0.750, 0.307], [0.978, 0.250, 0.693]]}

{"formula": "Ho8FeRu2", "functional": "PBE-GGA", "state": "optimized geometry", "formation_energy_ev_per_atom": -0.167, "e_tot_ev_per_atom": -5.9520, "spacegroup": "No. 12", "magmom_total_mub_per_fu": 0.0, "cell": [[4.805, 0.000, 0.000], [0.000, 6.788, 0.132], [-2.402, -2.750, 8.151]], "species": ["Ho", "Ho", "Ho", "Ho", "Ho", "Ho", "Ho", "Ho", "Fe", "Ru", "Ru"], "fractional_positions": [[0.405, 0.550, 0.810], [0.665, 0.963, 0.331], [0.796, 0.688, 0.593], [0.971, 0.204, 0.942], [0.204, 0.312, 0.407], [0.335, 0.037, 0.669], [0.595, 0.450, 0.190], [0.029, 0.796, 0.058], [0.500, 0.000, 0.000], [0.816, 0.302, 0.632], [0.184, 0.698, 0.368]]}

{"formula": "Sc2PaTaC4", "functional": "PBE-GGA", "state": "optimized geometry", "formation_energy_ev_per_atom": -0.520, "e_tot_ev_per_atom": -9.3832, "spacegroup": "No. 10", "magmom_total_mub_per_fu": 0.0, "cell": [[-2.583, -1.991, 0.784], [3.667, -3.974, 1.992], [1.026, 0.920, 5.716]], "species": ["Sc", "Sc", "Pa", "Ta", "C", "C", "C", "C"], "fractional_positions": [[0.000, 0.000, 0.000], [0.500, 0.000, 0.500], [0.500, 0.500, 0.000], [0.000, 0.500, 0.500], [0.000, 0.737, 0.735], [0.000, 0.263, 0.265], [0.500, 0.738, 0.265], [0.500, 0.262, 0.735]]}

{"formula": "La2PmMnS5", "functional": "PBE-GGA", "state": "optimized geometry", "raw_formation_energy_mev_per_atom": -1801.1, "e_tot_ev_per_atom": -6.7358, "spacegroup": "No. 36", "magmom_total_mub_per_fu": 4.3, "cell": [[4.010, 0.000, 0.000], [-2.005, 8.420, 0.000], [0.000, 0.000, 12.230]], "species": ["La", "La", "La", "La", "Pm", "Pm", "Mn", "Mn", "S", "S", "S", "S", "S", "S", "S", "S", "S", "S"], "fractional_positions": [[0.876, 0.751, 0.844], [0.118, 0.236, 0.692], [0.124, 0.249, 0.344], [0.882, 0.764, 0.192], [0.817, 0.634, 0.526], [0.183, 0.366, 0.026], [0.548, 0.097, 0.926], [0.452, 0.903, 0.426], [0.348, 0.695, 0.017], [0.684, 0.367, 0.861], [0.492, 0.985, 0.754], [0.300, 0.600, 0.688], [0.986, 0.971, 0.516], [0.652, 0.305, 0.517], [0.316, 0.633, 0.361], [0.508, 0.015, 0.254], [0.700, 0.400, 0.188], [0.014, 0.029, 0.016]]}

{"formula": "TlIn4Sb", "functional": "PBE-GGA", "state": "optimized geometry", "raw_formation_energy_mev_per_atom": 129.1, "e_tot_ev_per_atom": -2.7780, "spacegroup": "No. 216", "magmom_total_mub_per_fu": 0.0, "cell": [[-3.936, -3.794, -3.093], [-5.486, 2.213, -2.112], [-0.910, 0.772, -6.167]], "species": ["Tl", "In", "In", "In", "In", "Sb"], "fractional_positions": [[0.000, 0.000, 0.000], [0.874, 0.375, 0.375], [0.375, 0.375, 0.874], [0.375, 0.874, 0.375], [0.375, 0.375, 0.375], [0.750, 0.750, 0.750]]}

{"formula": "KLi2SeI", "functional": "PBE-GGA", "state": "optimized geometry", "e_above_lowest_polymorph_ev_per_atom": 0.000, "raw_formation_energy_mev_per_atom": -1243.2, "e_tot_ev_per_atom": -3.2352, "spacegroup": "No. 11", "magmom_total_mub_per_fu": 0.0, "cell": [[-4.114, -1.436, -1.139], [2.743, -2.559, -6.683], [0.739, -6.806, 5.911]], "species": ["K", "K", "Li", "Li", "Li", "Li", "Se", "Se", "I", "I"], "fractional_positions": [[0.250, 0.937, 0.183], [0.750, 0.063, 0.817], [0.750, 0.525, 0.657], [0.250, 0.475, 0.343], [0.750, 0.472, 0.095], [0.250, 0.528, 0.905], [0.250, 0.304, 0.067], [0.750, 0.696, 0.933], [0.250, 0.287, 0.571], [0.750, 0.713, 0.429]]}

{"formula": "La3PmTh3Se8", "functional": "PBE-GGA", "state": "optimized geometry", "raw_formation_energy_mev_per_atom": -1810.8, "e_tot_ev_per_atom": -6.4554, "spacegroup": "No. 166", "magmom_total_mub_per_fu": 0.0, "cell": [[8.428, 0.000, 0.000], [-4.214, 7.299, -0.025], [0.000, -4.842, 7.011]], "species": ["La", "La", "La", "Pm", "Th", "Th", "Th", "Se", "Se", "Se", "Se", "Se", "Se", "Se", "Se"], "fractional_positions": [[0.000, 0.000, 0.000], [0.000, 0.500, 0.000], [0.500, 0.500, 0.000], [0.000, 0.000, 0.500], [0.500, 0.000, 0.500], [0.500, 0.500, 0.500], [0.000, 0.500, 0.500], [0.251, 0.503, 0.254], [0.749, 0.497, 0.746], [0.748, 0.495, 0.253], [0.252, 0.505, 0.747], [0.748, 0.005, 0.253], [0.252, 0.995, 0.747], [0.257, 0.005, 0.253], [0.743, 0.995, 0.747]]}

{"formula": "Cr2CoNi", "functional": "PBE-GGA", "state": "optimized geometry", "formation_energy_ev_per_atom": 0.152, "e_above_lowest_polymorph_ev_per_atom": 0.124, "e_tot_ev_per_atom": -7.8812, "spacegroup": "No. 12", "magmom_total_mub_per_fu": 0.7, "cell": [[-4.292, -0.906, -0.210], [-3.093, -2.955, -0.996], [-0.555, -1.805, 3.856]], "species": ["Co", "Cr", "Cr", "Ni"], "fractional_positions": [[0.250, 0.250, 0.250], [0.998, 0.998, 0.004], [0.502, 0.502, 0.496], [0.750, 0.750, 0.750]]}

{"formula": "LiNd2TlS4", "functional": "PBE-GGA", "state": "optimized geometry", "raw_formation_energy_mev_per_atom": -1613.6, "e_tot_ev_per_atom": -5.4042, "spacegroup": "No. 63", "magmom_total_mub_per_fu": 0.0, "cell": [[4.154, 0.000, 0.000], [-2.077, 6.937, 0.000], [0.000, 0.000, 14.373]], "species": ["Li", "Li", "Nd", "Nd", "Nd", "Nd", "Tl", "Tl", "S", "S", "S", "S", "S", "S", "S", "S"], "fractional_positions": [[0.830, 0.660, 0.750], [0.170, 0.340, 0.250], [0.366, 0.732, 0.560], [0.634, 0.268, 0.060], [0.634, 0.268, 0.440], [0.366, 0.732, 0.940], [0.098, 0.196, 0.750], [0.902, 0.804, 0.250], [0.261, 0.522, 0.109], [0.739, 0.478, 0.609], [0.739, 0.478, 0.891], [0.261, 0.522, 0.391], [0.000, 0.000, 0.500], [0.000, 0.000, 0.000], [0.423, 0.846, 0.750], [0.577, 0.154, 0.250]]}

{"formula": "K2MnTl", "functional": "PBE-GGA", "state": "optimized geometry", "formation_energy_ev_per_atom": 0.559, "e_above_lowest_polymorph_ev_per_atom": 0.218, "e_tot_ev_per_atom": -2.8737, "spacegroup": "No. 123", "magmom_total_mub_per_fu": 4.0, "cell": [[-0.662, 1.961, -5.369], [-4.375, -2.177, -0.256], [-2.119, 4.053, 1.742]], "species": ["K", "K", "Mn", "Tl"], "fractional_positions": [[0.000, 0.000, 0.000], [0.000, 0.500, 0.500], [0.500, 0.500, 0.000], [0.500, 0.000, 0.500]]}